BeHgW2F | PBE+U | optimized geometry

## Properties
M_tot = 1.473 μB/f.u.
V = 15.87 Å³/atom
Crystal system = tetragonal
DOS at the Fermi energy = 1.5 states/eV per cell
E = -3.1626 eV per atom

a = 4.9231 Å, b = 4.9231 Å, c = 3.2746 Å
α = 90.00°, β = 90.00°, γ = 90.00°
With the nearest neighbours (Å) after each atom.
Positions (direct):
1 Be 0.0000 0.0000 0.0000  2 F 1.64
2 Hg 0.5000 0.5000 0.5000  8 W 2.96, 2 Hg 3.27
3 W 0.0000 0.5000 0.0000  2 Be 2.46
4 W 0.5000 0.0000 0.0000  2 Be 2.46
5 F 0.0000 0.0000 0.5000  2 Be 1.64